# Li2MnFeB2O6 PBE+U optimized geometry
data_Li2MnFeB2O6
_chemical_formula_sum 'Li6 Mn3 Fe3 B6 O18'
_space_group_name_H-M_alt 'P 1 m 1'
_space_group_IT_number 6
_cell_length_a 8.239
_cell_length_b 6.309
_cell_length_c 8.243
_cell_angle_alpha 90.00
_cell_angle_beta 119.85
_cell_angle_gamma 90.00
loop_
_space_group_symop_operation_xyz
'x,y,z'
'x,-y,z'
loop_
_atom_site_label
_atom_site_type_symbol
_atom_site_fract_x
_atom_site_fract_y
_atom_site_fract_z
Li1 Li 0.000 0.247 0.000
Li2 Li 0.262 0.248 0.579
Li3 Li 0.579 0.247 0.317
Mn1 Mn 0.640 0.500 0.670
Mn2 Mn 0.907 0.500 0.287
Mn3 Mn 0.908 0.000 0.287
Fe1 Fe 0.286 0.500 0.939
Fe2 Fe 0.293 0.000 0.933
Fe3 Fe 0.645 0.000 0.679
B1 B 0.282 0.500 0.298
B2 B 0.283 0.000 0.300
B3 B 0.610 0.248 0.964
B4 B 0.947 0.249 0.633
O1 O 0.141 0.250 0.740
O2 O 0.169 0.500 0.104
O3 O 0.172 0.000 0.105
O4 O 0.199 0.000 0.411
O5 O 0.200 0.500 0.411
O6 O 0.475 0.500 0.378
O7 O 0.477 0.000 0.385
O8 O 0.498 0.247 0.046
O9 O 0.528 0.246 0.770
O10 O 0.804 0.250 0.075
O11 O 0.840 0.246 0.721
O12 O 0.859 0.250 0.440
# Crystal system: monoclinic
# Raw total energy in eV per atom: -7.11
# M_tot in μB/f.u.: 9.01
# Offset from the most stable computed form in eV per atom: 0.005
# V in Å³ per cell: 371.6
# DOS(E_F) in states/eV per cell: 0.00